VASP calculation (GGA-PBE) on a geometry-optimized TlPWS5 structure.

Output
- Calculated total energy: -5.587 eV/atom
- Calculated volume: 25.09 A^3/atom

a = 6.608 Å, b = 6.739 Å, c = 9.590 Å
α = 106.75°, β = 100.08°, γ = 91.30°
Sites, in units of the cell vectors:
1 P 0.718 0.112 0.258
2 P 0.282 0.888 0.742
3 S 0.832 0.315 0.155
4 S 0.407 0.066 0.157
5 S 0.344 0.555 0.159
6 S 0.820 0.819 0.184
7 S 0.778 0.223 0.479
8 S 0.222 0.777 0.521
9 S 0.180 0.181 0.816
10 S 0.656 0.445 0.841
11 S 0.593 0.934 0.843
12 S 0.168 0.685 0.845
13 Tl 0.715 0.716 0.467
14 Tl 0.285 0.284 0.533
15 W 0.499 0.309 0.006
16 W 0.501 0.691 0.994

***

VASP calculation (GGA-PBE) on a geometry-optimized Tm4PS3 structure.

Output
- Calculated total energy: -6.356 eV/atom
- Calculated volume: 20.39 A^3/atom

a = 5.464 Å, b = 5.464 Å, c = 5.464 Å
α = 90.00°, β = 90.00°, γ = 90.00°
Sites, in units of the cell vectors:
1 P 0.000 0.000 0.000
2 S 0.500 0.500 0.000
3 S 0.500 0.000 0.500
4 S 0.000 0.500 0.500
5 Tm 0.500 0.000 0.000
6 Tm 0.000 0.500 0.000
7 Tm 0.000 0.000 0.500
8 Tm 0.500 0.500 0.500

***

VASP calculation (GGA-PBE) on a geometry-optimized UP4S12 structure.

Output
- Calculated total energy: -5.255 eV/atom
- Calculated volume: 24.96 A^3/atom

a = 10.510 Å, b = 10.510 Å, c = 10.510 Å
α = 102.65°, β = 102.65°, γ = 124.19°
Site moments in Bohr magnetons follow the coordinates.
Sites, in units of the cell vectors:
1 P 0.429 0.239 0.178  0.01
2 P 0.761 0.939 0.189  0.01
3 P 0.989 0.311 0.311  0.01
4 P 0.321 0.011 0.322  0.01
5 P 0.689 0.999 0.678  0.01
6 P 0.001 0.679 0.689  0.01
7 P 0.749 0.571 0.811  0.01
8 P 0.061 0.251 0.822  0.01
9 S 0.197 0.396 0.035  -0.02
10 S 0.507 0.778 0.086  -0.02
11 S 0.886 0.119 0.104  0.01
12 S 0.838 0.803 0.199  -0.02
13 S 0.170 0.757 0.228  -0.02
14 S 0.218 0.114 0.233  0.01
15 S 0.532 0.136 0.267  0.01
16 S 0.580 0.493 0.272  -0.02
17 S 0.912 0.447 0.301  -0.02
18 S 0.864 0.131 0.396  0.01
19 S 0.243 0.472 0.414  -0.02
20 S 0.553 0.854 0.465  -0.02
21 S 0.388 0.088 0.535  -0.02
22 S 0.058 0.830 0.586  -0.02
23 S 0.735 0.468 0.604  0.01
24 S 0.146 0.612 0.699  -0.02
25 S 0.222 0.308 0.728  -0.02
26 S 0.869 0.265 0.733  0.01
27 S 0.881 0.985 0.767  0.01
28 S 0.528 0.942 0.772  -0.02
29 S 0.604 0.638 0.801  -0.02
30 S 0.015 0.782 0.896  0.01
31 S 0.692 0.420 0.914  -0.02
32 S 0.362 0.162 0.965  -0.02
33 U 0.500 0.500 0.000  2.01
34 U 0.250 0.750 0.500  2.01

***

VASP calculation (GGA-PBE) on a geometry-optimized UP2S7 structure.

Output
- Calculated total energy: -5.675 eV/atom
- Calculated volume: 26.50 A^3/atom

a = 17.064 Å, b = 15.951 Å, c = 8.860 Å
α = 81.51°, β = 67.60°, γ = 30.90°
Site moments in Bohr magnetons follow the coordinates.
Sites, in units of the cell vectors:
1 P 0.357 0.755 0.256  0.01
2 P 0.256 0.631 0.357  0.01
3 P 0.619 0.994 0.495  0.01
4 P 0.495 0.893 0.619  0.01
5 P 0.755 0.357 0.631  0.01
6 P 0.631 0.256 0.755  0.01
7 P 0.994 0.619 0.893  0.01
8 P 0.893 0.495 0.994  0.01
9 S 0.026 0.474 0.026  0.01
10 S 0.958 0.333 0.109  -0.03
11 S 0.629 0.509 0.113  -0.03
12 S 0.621 0.741 0.137  -0.03
13 S 0.292 0.917 0.141  -0.03
14 S 0.224 0.776 0.224  0.01
15 S 0.141 0.650 0.292  -0.03
16 S 0.510 0.389 0.293  -0.02
17 S 0.600 0.109 0.333  -0.02
18 S 0.808 0.293 0.389  -0.02
19 S 0.861 0.740 0.442  -0.02
20 S 0.474 0.026 0.474  0.01
21 S 0.741 0.621 0.500  -0.03
22 S 0.750 0.113 0.509  -0.03
23 S 0.293 0.808 0.510  -0.02
24 S 0.333 0.958 0.600  -0.03
25 S 0.137 0.500 0.621  -0.03
26 S 0.113 0.750 0.629  -0.03
27 S 0.917 0.292 0.650  -0.03
28 S 0.957 0.442 0.740  -0.02
29 S 0.500 0.137 0.741  -0.03
30 S 0.509 0.629 0.750  -0.03
31 S 0.776 0.224 0.776  0.01
32 S 0.389 0.510 0.808  -0.02
33 S 0.442 0.957 0.861  -0.02
34 S 0.650 0.141 0.917  -0.02
35 S 0.740 0.861 0.957  -0.02
36 S 0.109 0.600 0.958  -0.03
37 U 0.612 0.612 0.388  2.02
38 U 0.388 0.388 0.612  2.07
39 U 0.862 0.862 0.638  2.07
40 U 0.638 0.638 0.862  2.02

***

VASP calculation (GGA-PBE) on a geometry-optimized U4PS2 structure.

Output
- Calculated total energy: -9.185 eV/atom
- Calculated volume: 22.10 A^3/atom

a = 6.636 Å, b = 6.636 Å, c = 3.699 Å
α = 90.00°, β = 90.00°, γ = 108.26°
Site moments in Bohr magnetons follow the coordinates.
Sites, in units of the cell vectors:
1 P 0.000 0.000 0.000  -0.06
2 S 0.500 0.000 0.500  -0.07
3 S 0.000 0.500 0.500  -0.07
4 U 0.742 0.258 0.000  2.00
5 U 0.258 0.742 0.000  2.00
6 U 0.268 0.268 0.500  2.24
7 U 0.732 0.732 0.500  2.24

***

VASP calculation (GGA-PBE) on a geometry-optimized U3PS2 structure.

Output
- Calculated total energy: -9.177 eV/atom
- Calculated volume: 20.63 A^3/atom

a = 6.654 Å, b = 6.654 Å, c = 6.654 Å
α = 145.59°, β = 131.33°, γ = 60.96°
Site moments in Bohr magnetons follow the coordinates.
Sites, in units of the cell vectors:
1 P 0.000 0.000 0.000  -0.07
2 S 0.335 0.335 0.000  -0.07
3 S 0.665 0.665 0.000  -0.07
4 U 0.500 0.000 0.500  1.87
5 U 0.832 0.332 0.500  1.91
6 U 0.168 0.668 0.500  1.91